This record from Alexandria via LeMat-Bulk describes a crystal of Sr3NbC relaxed with PBEsol. The functional is meta-GGA SCAN.

The structure in CIF format:
```
data_Sr3NbC
_chemical_formula_sum 'Sr3 Nb1 C1'
_symmetry_space_group_name_H-M 'P m -3 m'
_symmetry_Int_Tables_number 221
_symmetry_space_group_name_Hall '-P 4 2 3'
_cell_length_a 5.3718
_cell_length_b 5.3718
_cell_length_c 5.3718
_cell_angle_alpha 90.00
_cell_angle_beta 90.00
_cell_angle_gamma 90.00
loop_
_atom_site_label
_atom_site_type_symbol
_atom_site_fract_x
_atom_site_fract_y
_atom_site_fract_z
Sr1 Sr 0.0000 0.0000 0.5000
Nb1 Nb 0.5000 0.5000 0.5000
C1 C 0.0000 0.0000 0.0000
```

Formation energy, eV per atom: 0.874
Calculated density, Mg/m³: 3.9